! BaCuH8Pd2 | Alexandria | PBE-GGA | relaxed; values from VASP
&SYSTEM
  ibrav = 0, nat = 12, ntyp = 4
/
ATOMIC_SPECIES
Ba 137.33 Ba.upf
Cu 63.55 Cu.upf
H 1.01 H.upf
Pd 106.42 Pd.upf
ATOMIC_POSITIONS crystal
Ba 0.000 0.000 0.000
Cu 0.500 0.500 0.500
H 0.158 0.766 0.432
H 0.234 0.568 0.842
H 0.295 0.295 0.295
H 0.432 0.158 0.766
H 0.568 0.842 0.234
H 0.705 0.705 0.705
H 0.766 0.432 0.158
H 0.842 0.234 0.568
Pd 0.206 0.206 0.206
Pd 0.794 0.794 0.794
CELL_PARAMETERS angstrom
2.389 1.379 6.286
-2.389 1.379 6.286
0.000 -2.758 6.286
! - Total magnetic moment: 0.0 Bohr magnetons per cell
! - ρ: 5.636 g cm⁻³
! - V: 10.36 A^3/atom
! - DFT total energy: -3.70 eV/atom

! Na4NbSe5 | Alexandria | PBE-GGA | relaxed; values from VASP
&SYSTEM
  ibrav = 0, nat = 10, ntyp = 3
/
ATOMIC_SPECIES
Na 22.99 Na.upf
Nb 92.91 Nb.upf
Se 78.96 Se.upf
ATOMIC_POSITIONS crystal
Na 0.088 0.302 0.390
Na 0.302 0.912 0.214
Na 0.698 0.088 0.786
Na 0.912 0.698 0.610
Nb 0.596 0.596 0.000
Se 0.239 0.577 0.827
Se 0.412 0.239 0.662
Se 0.577 0.751 0.338
Se 0.751 0.412 0.173
Se 0.987 0.987 0.000
CELL_PARAMETERS angstrom
-4.613 4.613 3.081
4.613 -4.613 3.081
4.613 4.613 -3.081
! - Total magnetic moment: 0.9 Bohr magnetons per cell
! - E_form (uncorrected): -0.873 eV/atom
! - ρ: 3.669 g cm⁻³
! - V: 26.23 A^3/atom

! NdHoTlPd | Alexandria | PBE-GGA | relaxed; values from VASP
&SYSTEM
  ibrav = 0, nat = 16, ntyp = 4
/
ATOMIC_SPECIES
Nd 144.24 Nd.upf
Ho 164.93 Ho.upf
Tl 204.38 Tl.upf
Pd 106.42 Pd.upf
ATOMIC_POSITIONS crystal
Nd 0.000 0.000 0.000
Nd 0.000 0.500 0.500
Nd 0.500 0.000 0.500
Nd 0.500 0.500 0.000
Ho 0.000 0.000 0.500
Ho 0.000 0.500 0.000
Ho 0.500 0.000 0.000
Ho 0.500 0.500 0.500
Tl 0.250 0.250 0.250
Tl 0.250 0.750 0.750
Tl 0.750 0.250 0.750
Tl 0.750 0.750 0.250
Pd 0.250 0.250 0.750
Pd 0.250 0.750 0.250
Pd 0.750 0.250 0.250
Pd 0.750 0.750 0.750
CELL_PARAMETERS angstrom
7.429 0.000 0.000
0.000 7.429 0.000
0.000 0.000 7.429
! - Total magnetic moment: 0.0 Bohr magnetons per cell
! - Energy relative to the elements: -505 meV/atom
! - ρ: 10.043 g cm⁻³
! - V: 25.63 A^3/atom

! Nd6Co2SBr3 | Alexandria | PBE-GGA | relaxed; values from VASP
&SYSTEM
  ibrav = 0, nat = 12, ntyp = 4
/
ATOMIC_SPECIES
Nd 144.24 Nd.upf
Co 58.93 Co.upf
S 32.06 S.upf
Br 79.90 Br.upf
ATOMIC_POSITIONS crystal
Nd 0.018 0.018 0.232
Nd 0.320 0.320 0.456
Nd 0.338 0.338 0.878
Nd 0.662 0.662 0.122
Nd 0.680 0.680 0.544
Nd 0.982 0.982 0.768
Co 0.166 0.166 0.327
Co 0.834 0.834 0.673
S 0.500 0.500 0.000
Br 0.161 0.161 0.834
Br 0.500 0.500 0.500
Br 0.839 0.839 0.166
CELL_PARAMETERS angstrom
9.550 -1.995 0.000
9.550 1.995 0.000
-2.918 0.000 8.612
! - Total magnetic moment: 0.0 Bohr magnetons per cell
! - E_form (uncorrected): -1.009 eV/atom
! - ρ: 6.351 g cm⁻³
! - V: 27.35 A^3/atom